No. 1
# LiCaP2

Crystalline LiCaP2 at its relaxed geometry (PBE, Alexandria).

* M_tot: 0.0 μB/f.u.
* DOS at the Fermi energy: 1.144 states/eV/cell
* E_tot: -16.84 eV per cell
* calculated density: 2.53 Mg/m³
* energy relative to the lowest polymorph listed for this composition: 193.1 meV/atom
* formation enthalpy at 0 K: -50.9 kJ/mol of atoms

```
data_LiCaP2
_chemical_formula_sum 'Li1 Ca1 P2'
_cell_length_a 4.231
_cell_length_b 4.231
_cell_length_c 3.989
_cell_angle_alpha 90.00
_cell_angle_beta 90.00
_cell_angle_gamma 90.00
_space_group_name_H-M_alt 'P 4/m m m'
_space_group_IT_number 123
_space_group_name_Hall '-P 4 2'
loop_
_atom_site_label
_atom_site_type_symbol
_atom_site_fract_x
_atom_site_fract_y
_atom_site_fract_z
_atom_site_occupancy
Li1 Li 0.000 0.000 0.000 1
Ca1 Ca 0.500 0.500 0.000 1
P1 P 0.000 0.500 0.500 1
```



No. 2
# LiCa2PPb

Crystalline LiCa2PPb at its relaxed geometry (PBE, Alexandria).

* M_tot: 0.0 μB/f.u.
* DOS at the Fermi energy: 4.866 states/eV/cell
* E_tot: -17.95 eV per cell
* calculated density: 3.80 Mg/m³
* formation enthalpy at 0 K: -56.3 kJ/mol of atoms

```
data_LiCa2PPb
_chemical_formula_sum 'Li1 Ca2 P1 Pb1'
_cell_length_a 5.538
_cell_length_b 5.538
_cell_length_c 4.633
_cell_angle_alpha 90.00
_cell_angle_beta 90.00
_cell_angle_gamma 90.00
_space_group_name_H-M_alt 'P 4/m m m'
_space_group_IT_number 123
_space_group_name_Hall '-P 4 2'
loop_
_atom_site_label
_atom_site_type_symbol
_atom_site_fract_x
_atom_site_fract_y
_atom_site_fract_z
_atom_site_occupancy
Li1 Li 0.000 0.000 0.000 1
Ca1 Ca 0.000 0.500 0.500 1
P1 P 0.000 0.000 0.500 1
Pb1 Pb 0.500 0.500 0.000 1
```



No. 3
# LiCa2P2Pd

Crystalline LiCa2P2Pd at its relaxed geometry (PBE, Alexandria).

* M_tot: 0.0 μB/f.u.
* DOS at the Fermi energy: 16.983 states/eV/cell
* E_tot: -109.88 eV per cell
* calculated density: 3.69 Mg/m³
* formation enthalpy at 0 K: -89.1 kJ/mol of atoms

```
data_LiCa2P2Pd
_chemical_formula_sum 'Li4 Ca8 P8 Pd4'
_cell_length_a 5.743
_cell_length_b 13.904
_cell_length_c 5.757
_cell_angle_alpha 90.00
_cell_angle_beta 90.00
_cell_angle_gamma 90.00
_space_group_name_H-M_alt 'I b a m'
_space_group_IT_number 72
_space_group_name_Hall '-I 2 2c'
loop_
_atom_site_label
_atom_site_type_symbol
_atom_site_fract_x
_atom_site_fract_y
_atom_site_fract_z
_atom_site_occupancy
Li1 Li 0.000 0.000 0.250 1
Ca1 Ca 0.247 0.334 0.000 1
P1 P 0.250 0.116 0.000 1
Pd1 Pd 0.000 0.500 0.250 1
```



Q: Among the records above, which one has the lowest formation enthalpy at 0 K?
A: LiCa2P2Pd